Computed, not measured: TaTcAs3 after structural relaxation at the PBE level of DFT.

Results
Energy above the most stable polymorph in this dataset   0 meV/atom
SG   Pm-3m
Raw total energy   -0.4603 Ry per atom
Formation enthalpy at 0 K   0.971 eV per atom

```
5
Lattice="-1.538 4.395 -1.727 0.259 -1.735 -4.646 -4.715 -1.529 0.308" Properties=species:S:1:pos:R:3 pbc="T T T"
As -0.769 2.197 -0.864
As -2.357 -0.765 0.154
As 0.130 -0.867 -2.323
Ta 0.000 0.000 0.000
Tc -2.997 0.565 -3.032
```

=====

Computed, not measured: Tc3Ir2Ru4 after structural relaxation at the PBE level of DFT.

Results
SG   P-1
Raw total energy   -0.7109 Ry per atom
Formation enthalpy at 0 K   -0.125 eV per atom

```
18
Lattice="4.714 0.625 0.144 1.267 7.923 2.719 -0.221 0.028 7.000" Properties=species:S:1:pos:R:3 pbc="T T T"
Ru 4.657 3.627 2.159
Ru 0.009 1.346 6.869
Ru 2.509 0.787 5.882
Ru 3.250 7.788 3.981
Ru 1.102 4.948 7.705
Ru 1.689 1.524 3.425
Ru 5.750 7.229 2.994
Ru 4.070 7.052 6.438
Tc 3.322 6.101 8.836
Tc 4.189 1.009 2.421
Tc 1.399 3.231 5.576
Tc 4.361 5.344 4.288
Tc 2.437 2.474 1.027
Tc 1.570 7.566 7.442
Ir 3.616 4.387 6.717
Ir 2.143 4.188 3.146
Ir 3.907 2.694 4.557
Ir 1.852 5.881 5.307
```

=====

Computed, not measured: ZrCo2Tc after structural relaxation at the PBE level of DFT.

Results
Energy above the most stable polymorph in this dataset   60 meV/atom
SG   Cm
Raw total energy   -0.6064 Ry per atom
Formation enthalpy at 0 K   0.032 eV per atom

```
4
Lattice="4.634 0.010 -0.013 3.763 2.704 -0.013 0.937 0.303 4.571" Properties=species:S:1:pos:R:3 pbc="T T T"
Co 6.944 2.244 3.285
Co 1.043 0.337 4.528
Zr 2.350 0.760 1.004
Tc 4.600 1.487 2.573
```

=====

Computed, not measured: K2Rb4Pd after structural relaxation at the PBE level of DFT.

Results
Energy above the most stable polymorph in this dataset   30 meV/atom
SG   I4/mmm
Raw total energy   -0.1113 Ry per atom
Formation enthalpy at 0 K   0.094 eV per atom

```
7
Lattice="6.608 0.000 0.000 0.000 6.608 0.000 3.304 3.304 11.949" Properties=species:S:1:pos:R:3 pbc="T T T"
Rb 0.000 3.304 0.000
Rb 6.608 6.608 3.308
Rb 3.304 0.000 0.000
Rb 3.304 3.304 8.642
K 3.304 3.304 4.164
K 6.608 6.608 7.786
Pd 0.000 0.000 0.000
```

=====

Computed, not measured: Tm2CoIr3 after structural relaxation at the PBE level of DFT.

Results
SG   P6_3/mmc
Raw total energy   -0.5748 Ry per atom
Formation enthalpy at 0 K   -0.715 eV per atom

```
12
Lattice="-3.659 -2.119 3.252 4.192 -2.909 -1.555 4.290 2.670 6.566" Properties=species:S:1:pos:R:3 pbc="T T T"
Ir 1.865 -0.664 1.665
Ir 3.947 -2.109 0.893
Ir 2.693 0.804 5.755
Ir 2.130 -3.162 2.509
Ir 2.958 -1.695 6.598
Ir 0.875 -0.249 7.371
Co 2.145 1.335 3.283
Co 0.000 0.000 0.000
Tm 0.826 -1.220 4.509
Tm 3.997 -1.139 3.754
Tm 5.588 -0.148 6.190
Tm -0.765 -2.210 2.073
```

=====

Computed, not measured: Ba2Na3Pb2 after structural relaxation at the PBE level of DFT.

Results
SG   C2/m
Raw total energy   -0.1817 Ry per atom
Formation enthalpy at 0 K   -0.298 eV per atom

```
7
Lattice="-1.419 -1.811 5.110 1.176 -4.816 -4.453 7.367 2.109 2.793" Properties=species:S:1:pos:R:3 pbc="T T T"
Na -0.710 -0.905 2.555
Na 2.600 -1.433 3.287
Na 4.525 -3.085 0.163
Pb 5.289 -3.295 3.374
Pb 1.835 -1.223 0.076
Ba 5.909 -0.055 1.622
Ba 1.215 -4.463 1.829
```

=====

Repeat the fourth record exactly.
Computed, not measured: K2Rb4Pd after structural relaxation at the PBE level of DFT.

Results
Energy above the most stable polymorph in this dataset   30 meV/atom
SG   I4/mmm
Raw total energy   -0.1113 Ry per atom
Formation enthalpy at 0 K   0.094 eV per atom

```
7
Lattice="6.608 0.000 0.000 0.000 6.608 0.000 3.304 3.304 11.949" Properties=species:S:1:pos:R:3 pbc="T T T"
Rb 0.000 3.304 0.000
Rb 6.608 6.608 3.308
Rb 3.304 0.000 0.000
Rb 3.304 3.304 8.642
K 3.304 3.304 4.164
K 6.608 6.608 7.786
Pd 0.000 0.000 0.000
```